Below is crystalline GaCoNO at its relaxed geometry, with properties calculated at the GGA+U level.

```
GaCoNO
1.0
2.5530 -2.5530 0.0000
2.5530 2.5530 0.0000
0.0000 0.0000 6.1647
Co Ga N O
2 2 2 2
Direct
0.7500 0.2500 0.5000 Co
0.2500 0.7500 0.5000 Co
0.2500 0.2500 0.1430 Ga
0.7500 0.7500 0.8570 Ga
0.7500 0.7500 0.4035 N
0.2500 0.2500 0.5965 N
0.7500 0.2500 0.0000 O
0.2500 0.7500 0.0000 O
```

The calculation puts the excess energy over the best structure of this formula in the dataset at 12.514 kcal/mol of atoms. The total DFT energy (no corrections) is -5.505 eV per atom. The space-group type is P4/nmm (129).